Material: SbP2Pb
Method: DFT, GGA-PBE
State: optimized geometry Values from VASP.

```
&SYSTEM
  ibrav = 0, nat = 12, ntyp = 3
/
ATOMIC_SPECIES
Sb 121.76 Sb.upf
P 30.97 P.upf
Pb 207.20 Pb.upf
ATOMIC_POSITIONS crystal
Sb 0.000 0.000 0.000
Sb 0.333 0.667 0.667
Sb 0.667 0.333 0.333
P 0.000 0.000 0.267
P 0.000 0.000 0.524
P 0.333 0.667 0.191
P 0.333 0.667 0.934
P 0.667 0.333 0.601
P 0.667 0.333 0.858
Pb 0.000 0.000 0.786
Pb 0.333 0.667 0.453
Pb 0.667 0.333 0.119
CELL_PARAMETERS angstrom
3.958 0.000 0.000
-1.979 3.428 0.000
0.000 0.000 21.130
```

Output
Magnetization = 0.00 μB/f.u.
Offset from the most stable computed form = 0.178 eV per atom
Energy = -4.42 eV per atom